Entry 1:
Entry from Alexandria via LeMat-Bulk: an optimized crystal structure of Ho4AlGa3 (GGA-PBE).

Values from the calculation:
Its total energy is -4.462 eV/atom. As for the formation energy: -570 meV/atom. The value obtained for the mass density is 7.8 g cm⁻³. The value obtained for the density of states at the Fermi level is 6.34 states/eV/cell. As for the space group: Pmm2, No. 25.

Cell lengths 4.0353, 4.3635, 10.8996 Å; angles 90.00, 90.00, 90.00 degrees
Fractional coordinates of all 8 atoms:
Ho: 0.0000 0.0000 0.0000
Ho: 0.0000 0.5000 0.4972
Ho: 0.5000 0.0000 0.2765
Ho: 0.5000 0.5000 0.7800
Al: 0.5000 0.0000 0.5663
Ga: 0.0000 0.0000 0.7183
Ga: 0.0000 0.5000 0.2150
Ga: 0.5000 0.5000 0.0612


Entry 2:
Entry from Alexandria via LeMat-Bulk: an optimized crystal structure of Ho2Al3Ga4 (GGA-PBE).

Values from the calculation:
Its total energy is -4.037 eV/atom. As for the formation energy: -427 meV/atom. The value obtained for the mass density is 6.6 g cm⁻³. The value obtained for the density of states at the Fermi level is 7.22 states/eV/cell. As for the space group: Cmce, No. 64.

Cell lengths 8.1644, 8.1644, 7.8094 Å; angles 90.00, 90.00, 138.50 degrees
Fractional coordinates of all 18 atoms:
Ho: 0.1121 0.8879 0.9133
Ho: 0.3879 0.6121 0.4133
Ho: 0.6121 0.3879 0.5867
Ho: 0.8879 0.1121 0.0867
Al: 0.0000 0.0000 0.5000
Al: 0.0299 0.4701 0.7500
Al: 0.4701 0.0299 0.2500
Al: 0.5000 0.5000 0.0000
Al: 0.5299 0.9701 0.7500
Al: 0.9701 0.5299 0.2500
Ga: 0.1803 0.8197 0.5383
Ga: 0.1982 0.3018 0.7500
Ga: 0.3018 0.1982 0.2500
Ga: 0.3197 0.6803 0.0383
Ga: 0.6803 0.3197 0.9617
Ga: 0.6982 0.8018 0.7500
Ga: 0.8018 0.6982 0.2500
Ga: 0.8197 0.1803 0.4617